The following is a DFT calculation (PBE) of a geometry-optimized LiPr2Cd structure.

The structure belongs to space group Fm-3m (No. 225); the cell edges are 7.731, 7.731 and 7.731 Å and the angles 90.00°, 90.00° and 90.00°. The inequivalent atoms are Li at (0.000, 0.000, 0.000), Pr at (0.250, 0.250, 0.250) and Cd at (0.000, 0.000, 0.500).

The value obtained for the formation energy is -0.122 eV per atom. The calculation puts the polymorph energy (0 for the lowest one) at 0.09 kcal/mol of atoms. The calculation puts the density at 5.77 Mg/m³.

***

The following is a DFT calculation (PBE) of a geometry-optimized NdMgScHg structure.

The structure belongs to space group F-43m (No. 216); the cell edges are 7.416, 7.416 and 7.416 Å and the angles 90.00°, 90.00° and 90.00°. The inequivalent atoms are Nd at (0.000, 0.000, 0.000), Mg at (0.250, 0.250, 0.250), Sc at (0.000, 0.000, 0.500) and Hg at (0.250, 0.250, 0.750).

The value obtained for the formation energy is -0.232 eV per atom. The calculation puts the polymorph energy (0 for the lowest one) at 0.50 kcal/mol of atoms. The calculation puts the density at 6.74 Mg/m³.

***

The following is a DFT calculation (PBE) of a geometry-optimized Dy5Er3Sc3 structure.

The structure belongs to space group P-62m (No. 189); the cell edges are 9.2833, 9.2833 and 5.4568 Å and the angles 90.00°, 90.00° and 120.00°. The inequivalent atoms are Dy at (0.0000, 0.7457, 0.0000), Dy at (0.3333, 0.6667, 0.0000), Er at (0.0000, 0.5342, 0.5000) and Sc at (0.0000, 0.3783, 0.0000).

The value obtained for the formation energy is 0.788 eV per atom. The calculation puts the density at 5.91 Mg/m³.

***

The following is a DFT calculation (PBE) of a geometry-optimized PaInPd4 structure.

The structure belongs to space group Cmcm (No. 63); the cell edges are 4.135, 19.365 and 5.688 Å and the angles 90.00°, 90.00° and 90.00°. The inequivalent atoms are Pa at (0.000, 0.083, 0.250), In at (0.000, 0.229, 0.750), Pd at (0.000, 0.072, 0.750), Pd at (0.000, 0.351, 0.005) and Pd at (0.000, 0.500, 0.000).

The value obtained for the formation energy is -0.647 eV per atom. The calculation puts the polymorph energy (0 for the lowest one) at 0.00 kcal/mol of atoms. The calculation puts the density at 11.25 Mg/m³.

***

The following is a DFT calculation (PBE) of a geometry-optimized KSBrCl2 structure.

The structure belongs to space group P4/mmm (No. 123); the cell edges are 5.902, 5.902 and 6.405 Å and the angles 90.00°, 90.00° and 90.00°. The inequivalent atoms are K at (0.000, 0.000, 0.000), S at (0.000, 0.000, 0.500), Br at (0.500, 0.500, 0.500) and Cl at (0.000, 0.500, 0.000).

The formation energy from raw total energies comes out at 1.42 eV/f.u. The calculation puts the polymorph energy (0 for the lowest one) at 13.55 kcal/mol of atoms. The calculation puts the density at 1.65 Mg/m³.

***

The following is a DFT calculation (PBE) of a geometry-optimized CaCuAu11 structure.

The structure belongs to space group C2/m (No. 12); the cell edges are 5.477, 13.711 and 7.184 Å and the angles 90.00°, 111.89° and 90.00°. The inequivalent atoms are Ca at (0.000, 0.000, 0.000), Cu at (0.000, 0.500, 0.500), Au at (0.000, 0.000, 0.500), Au at (0.096, 0.396, 0.217), Au at (0.184, 0.169, 0.356) and Au at (0.250, 0.250, 0.000).

The value obtained for the formation energy is -0.176 eV per atom. The calculation puts the density at 15.06 Mg/m³.

***

The following is a DFT calculation (PBE) of a geometry-optimized LaRe2MoIr structure.

The structure belongs to space group P4/mmm (No. 123); the cell edges are 4.786, 4.786 and 5.285 Å and the angles 90.00°, 90.00° and 90.00°. The inequivalent atoms are La at (0.000, 0.000, 0.000), Re at (0.000, 0.500, 0.500), Mo at (0.500, 0.500, 0.000) and Ir at (0.000, 0.000, 0.500).

The value obtained for the formation energy is 1.719 eV per atom. The calculation puts the density at 10.97 Mg/m³.

***

The following is a DFT calculation (PBE) of a geometry-optimized Sc2BrCl structure.

The structure belongs to space group Cm (No. 8); the cell edges are 10.100, 3.383 and 5.951 Å and the angles 90.00°, 115.22° and 90.00°. The inequivalent atoms are Sc at (0.000, 0.000, 0.000), Sc at (0.174, 0.500, 0.497), Br at (0.413, 0.000, 0.551) and Cl at (0.248, 0.000, 0.912).

The formation energy from raw total energies comes out at -3.56 eV/f.u. The calculation puts the polymorph energy (0 for the lowest one) at 8.81 kcal/mol of atoms. The calculation puts the density at 3.71 Mg/m³.

***

The following is a DFT calculation (PBE) of a geometry-optimized CaTlBiPtN structure.

The structure belongs to space group Cm (No. 8); the cell edges are 11.841, 5.928 and 3.749 Å and the angles 90.00°, 108.34° and 90.00°. The inequivalent atoms are Ca at (0.000, 0.000, 0.000), Tl at (0.229, 0.500, 0.230), Bi at (0.467, 0.000, 0.469), Pt at (0.216, 0.000, 0.714) and N at (0.216, 0.000, 0.214).

The formation energy from raw total energies comes out at -0.51 eV/f.u. The calculation puts the polymorph energy (0 for the lowest one) at 3.50 kcal/mol of atoms. The calculation puts the density at 8.81 Mg/m³.

***

The following is a DFT calculation (PBE) of a geometry-optimized Tm3ScAl8 structure.

The structure belongs to space group P3m1 (No. 156); the cell edges are 5.4709, 5.4709 and 8.9525 Å and the angles 90.00°, 90.00° and 120.00°. The inequivalent atoms are Tm at (0.0000, 0.0000, 0.0000), Tm at (0.0000, 0.0000, 0.3669), Tm at (0.3333, 0.6667, 0.8632), Sc at (0.3333, 0.6667, 0.4998), Al at (0.0096, 0.5048, 0.1843), Al at (0.3241, 0.1621, 0.6796), Al at (0.6667, 0.3333, 0.4326) and Al at (0.6667, 0.3333, 0.9310).

The value obtained for the formation energy is -0.487 eV per atom. The calculation puts the polymorph energy (0 for the lowest one) at 0.19 kcal/mol of atoms. The calculation puts the density at 5.49 Mg/m³.

***

The following is a DFT calculation (PBE) of a geometry-optimized TlGaBiTe3 structure.

The structure belongs to space group P2_1/m (No. 11); the cell edges are 9.281, 4.685 and 10.146 Å and the angles 90.00°, 101.66° and 90.00°. The inequivalent atoms are Tl at (0.188, 0.250, 0.233), Ga at (0.088, 0.250, 0.607), Bi at (0.335, 0.750, 0.868), Te at (0.105, 0.250, 0.881), Te at (0.209, 0.750, 0.526) and Te at (0.444, 0.750, 0.173).

The formation energy from raw total energies comes out at -1.49 eV/f.u. The calculation puts the density at 6.66 Mg/m³.

***

The following is a DFT calculation (PBE) of a geometry-optimized SbTe2Au structure.

The structure belongs to space group F-43m (No. 216); the cell edges are 7.415, 7.415 and 7.415 Å and the angles 90.00°, 90.00° and 90.00°. The inequivalent atoms are Sb at (0.000, 0.000, 0.000), Te at (0.000, 0.000, 0.500), Te at (0.250, 0.250, 0.250) and Au at (0.250, 0.250, 0.750).

The formation energy from raw total energies comes out at 1.26 eV/f.u. The calculation puts the density at 9.35 Mg/m³.

***

The following is a DFT calculation (PBE) of a geometry-optimized Li2CuB structure.

The structure belongs to space group I-42d (No. 122); the cell edges are 6.960, 6.960 and 4.065 Å and the angles 90.00°, 90.00° and 90.00°. The inequivalent atoms are Li at (0.177, 0.250, 0.125), Cu at (0.000, 0.000, 0.500) and B at (0.000, 0.000, 0.000).

The value obtained for the formation energy is 0.416 eV per atom. The calculation puts the density at 2.98 Mg/m³.

***

The following is a DFT calculation (PBE) of a geometry-optimized Na2LaBiTe4 structure.

The structure belongs to space group P2/m (No. 10); the cell edges are 7.934, 4.587 and 8.021 Å and the angles 90.00°, 109.33° and 90.00°. The inequivalent atoms are Na at (0.000, 0.000, 0.000), Na at (0.500, 0.500, 0.000), La at (0.000, 0.500, 0.500), Bi at (0.500, 0.000, 0.500), Te at (0.252, 0.000, 0.741) and Te at (0.259, 0.500, 0.261).

The formation energy from raw total energies comes out at -7.72 eV/f.u. The calculation puts the density at 5.45 Mg/m³.

***

The following is a DFT calculation (PBE) of a geometry-optimized Th4SiCS2 structure.

The structure belongs to space group I222 (No. 23); the cell edges are 7.322, 7.447 and 7.510 Å and the angles 90.00°, 90.00° and 90.00°. The inequivalent atoms are Th at (0.181, 0.192, 0.307), Si at (0.000, 0.500, 0.000), C at (0.000, 0.000, 0.500) and S at (0.249, 0.500, 0.500).

The formation energy from raw total energies comes out at -6.08 eV/f.u. The calculation puts the density at 8.37 Mg/m³.